# 1
Er2ZnSe | PBE | relaxed

Crystal system: trigonal

```
data_Er2ZnSe
_chemical_formula_sum 'Er6 Zn3 Se3'
_symmetry_space_group_name_H-M 'R 3 m'
_symmetry_Int_Tables_number 160
_symmetry_space_group_name_Hall 'R 3 -2"'
_cell_length_a 3.8136
_cell_length_b 3.8136
_cell_length_c 23.0949
_cell_angle_alpha 90.00
_cell_angle_beta 90.00
_cell_angle_gamma 120.00
loop_
_atom_site_label
_atom_site_fract_x
_atom_site_fract_y
_atom_site_fract_z
Er1 0.0000 0.0000 0.0000
Er2 0.0000 0.0000 0.1660
Zn1 0.0000 0.0000 0.5836
Se1 0.0000 0.0000 0.4153
```

***

# 2
Er3ZrSe6 | PBE | relaxed

Crystal system: trigonal

```
data_Er3ZrSe6
_chemical_formula_sum 'Er18 Zr6 Se36'
_symmetry_space_group_name_H-M 'R -3'
_symmetry_Int_Tables_number 148
_symmetry_space_group_name_Hall '-R 3'
_cell_length_a 11.7581
_cell_length_b 11.7581
_cell_length_c 13.9877
_cell_angle_alpha 90.00
_cell_angle_beta 90.00
_cell_angle_gamma 120.00
loop_
_atom_site_label
_atom_site_fract_x
_atom_site_fract_y
_atom_site_fract_z
Er1 0.0569 0.7827 0.1973
Zr1 0.0000 0.0000 0.0000
Zr2 0.0000 0.0000 0.5000
Se1 0.0181 0.8129 0.3938
Se2 0.0340 0.8377 0.8810
```

***

# 3
ErZrSe2 | PBE | relaxed

Crystal system: trigonal

```
data_ErZrSe2
_chemical_formula_sum 'Er3 Zr3 Se6'
_symmetry_space_group_name_H-M 'R -3 m'
_symmetry_Int_Tables_number 166
_symmetry_space_group_name_Hall '-R 3 2"'
_cell_length_a 3.7350
_cell_length_b 3.7350
_cell_length_c 26.8107
_cell_angle_alpha 90.00
_cell_angle_beta 90.00
_cell_angle_gamma 120.00
loop_
_atom_site_label
_atom_site_fract_x
_atom_site_fract_y
_atom_site_fract_z
Er1 0.0000 0.0000 0.0000
Zr1 0.0000 0.0000 0.5000
Se1 0.0000 0.0000 0.1044
```

***

# 4
ErZrSe | PBE | relaxed

Crystal system: hexagonal

```
data_ErZrSe
_chemical_formula_sum 'Er1 Zr1 Se1'
_symmetry_space_group_name_H-M 'P -6 m 2'
_symmetry_Int_Tables_number 187
_symmetry_space_group_name_Hall 'P -6 2'
_cell_length_a 4.7028
_cell_length_b 4.7028
_cell_length_c 3.7496
_cell_angle_alpha 90.00
_cell_angle_beta 90.00
_cell_angle_gamma 120.00
loop_
_atom_site_label
_atom_site_fract_x
_atom_site_fract_y
_atom_site_fract_z
Er1 0.0000 0.0000 0.0000
Zr1 0.6667 0.3333 0.5000
Se1 0.3333 0.6667 0.5000
```

***

# 5
ErZrSe4 | PBE | relaxed

Crystal system: monoclinic

```
data_ErZrSe4
_chemical_formula_sum 'Er2 Zr2 Se8'
_symmetry_space_group_name_H-M 'P 1 21/c 1'
_symmetry_Int_Tables_number 14
_symmetry_space_group_name_Hall '-P 2ybc'
_cell_length_a 6.7206
_cell_length_b 6.8365
_cell_length_c 6.7748
_cell_angle_alpha 90.00
_cell_angle_beta 91.51
_cell_angle_gamma 90.00
loop_
_atom_site_label
_atom_site_fract_x
_atom_site_fract_y
_atom_site_fract_z
Er1 0.0000 0.0000 0.0000
Zr1 0.5000 0.0000 0.5000
Se1 0.1382 0.1288 0.3851
Se2 0.3678 0.6511 0.3407
```

***

# 6
Er2ZrSe | PBE | relaxed

Crystal system: trigonal

```
data_Er2ZrSe
_chemical_formula_sum 'Er6 Zr3 Se3'
_symmetry_space_group_name_H-M 'R -3 m'
_symmetry_Int_Tables_number 166
_symmetry_space_group_name_Hall '-R 3 2"'
_cell_length_a 3.5742
_cell_length_b 3.5742
_cell_length_c 29.5593
_cell_angle_alpha 90.00
_cell_angle_beta 90.00
_cell_angle_gamma 120.00
loop_
_atom_site_label
_atom_site_fract_x
_atom_site_fract_y
_atom_site_fract_z
Er1 0.0000 0.0000 0.1032
Zr1 0.0000 0.0000 0.0000
Se1 0.0000 0.0000 0.5000
```

***

Number 1: raw formation energy -0.901 eV per atom. Number 2: raw formation energy -1.633 eV per atom. Number 3: raw formation energy -1.058 eV per atom. Number 4: raw formation energy -0.504 eV per atom. Number 5: raw formation energy -1.187 eV per atom. Number 6: raw formation energy -0.340 eV per atom.